Compound: Na2CaVCl6
Source: Alexandria
Functional: PBE
Structure: optimized geometry

Unit cell a=6.865 b=6.865 c=7.229 alpha=61.65 beta=61.65 gamma=60.00
Fractional coordinates of all 10 atoms:
Na 0.022 0.022 0.935
Ca 0.820 0.820 0.541
Cl 0.205 0.965 0.255
Cl 0.684 0.105 0.775
V 0.324 0.324 0.028
Cl 0.105 0.435 0.775
Cl 0.435 0.684 0.775
Na 0.526 0.526 0.422
Cl 0.965 0.575 0.255
Cl 0.575 0.205 0.255

Properties
**Uncorrected formation energy**: -17.53 eV/f.u.
**Space group**: No. 146
**Final energy**: -4.24 eV per atom